A relaxed V2ZnSi crystal. Source: Alexandria, functional PBE.

Results
symmetry	No. 123
raw formation energy	-0.109	eV/atom
total energy	-6.3426	eV per atom

a = 3.1870 Å, b = 3.1870 Å, c = 5.3602 Å
α = 90.00°, β = 90.00°, γ = 90.00°
Element x y z (fractional)
V 0.0000 0.0000 0.2215
V 0.0000 0.0000 0.7785
Zn 0.5000 0.5000 0.5000
Si 0.5000 0.5000 0.0000

A relaxed V12ZnSi6 crystal. Source: Alexandria, functional PBE.

Results
symmetry	No. 148
raw formation energy	-0.271	eV/atom
total energy	-7.8100	eV per atom

a = 6.3212 Å, b = 6.3212 Å, c = 6.3212 Å
α = 89.73°, β = 89.73°, γ = 89.73°
Element x y z (fractional)
V 0.0189 0.9239 0.3099
V 0.0761 0.6901 0.9811
V 0.1142 0.4397 0.3626
V 0.3099 0.0189 0.9239
V 0.3626 0.1142 0.4397
V 0.4397 0.3626 0.1142
V 0.5603 0.6374 0.8858
V 0.6374 0.8858 0.5603
V 0.6901 0.9811 0.0761
V 0.8858 0.5603 0.6374
V 0.9239 0.3099 0.0189
V 0.9811 0.0761 0.6901
Zn 0.5000 0.5000 0.5000
Si 0.2247 0.3773 0.7643
Si 0.2357 0.7753 0.6227
Si 0.3773 0.7643 0.2247
Si 0.6227 0.2357 0.7753
Si 0.7643 0.2247 0.3773
Si 0.7753 0.6227 0.2357

A relaxed V2ZnSi crystal. Source: Alexandria, functional PBE.

Results
symmetry	No. 123
raw formation energy	-0.182	eV/atom
total energy	-6.4158	eV per atom

a = 3.6805 Å, b = 3.6805 Å, c = 3.9048 Å
α = 90.00°, β = 90.00°, γ = 90.00°
Element x y z (fractional)
V 0.0000 0.5000 0.0000
V 0.5000 0.0000 0.0000
Zn 0.0000 0.0000 0.5000
Si 0.5000 0.5000 0.5000

A relaxed VZnSi crystal. Source: Alexandria, functional PBE.

Results
symmetry	No. 187
raw formation energy	-0.038	eV/atom
total energy	-5.3100	eV per atom

a = 4.2000 Å, b = 4.2000 Å, c = 2.6267 Å
α = 90.00°, β = 90.00°, γ = 120.00°
Element x y z (fractional)
V 0.0000 0.0000 0.0000
Zn 0.3333 0.6667 0.5000
Si 0.6667 0.3333 0.5000

A relaxed VZn2Si2 crystal. Source: Alexandria, functional PBE.

Results
symmetry	No. 127
raw formation energy	0.164	eV/atom
total energy	-4.3388	eV per atom

a = 6.4329 Å, b = 6.4329 Å, c = 3.6046 Å
α = 90.00°, β = 90.00°, γ = 90.00°
Element x y z (fractional)
V 0.0000 0.0000 0.0000
V 0.5000 0.5000 0.0000
Zn 0.1692 0.3308 0.5000
Zn 0.3308 0.8308 0.5000
Zn 0.6692 0.1692 0.5000
Zn 0.8308 0.6692 0.5000
Si 0.1360 0.6360 0.0000
Si 0.3640 0.1360 0.0000
Si 0.6360 0.8640 0.0000
Si 0.8640 0.3640 0.0000

A relaxed V2ZnSi crystal. Source: Alexandria, functional PBE.

Results
symmetry	No. 122
raw formation energy	0.176	eV/atom
total energy	-6.0571	eV per atom

a = 5.3913 Å, b = 5.3913 Å, c = 5.3913 Å
α = 103.13°, β = 103.13°, γ = 123.07°
Element x y z (fractional)
V 0.1136 0.1250 0.4886
V 0.3750 0.8864 0.0114
V 0.6364 0.6250 0.5114
V 0.8750 0.3636 0.9886
Zn 0.2500 0.7500 0.5000
Zn 0.5000 0.5000 0.0000
Si 0.0000 0.0000 0.0000
Si 0.7500 0.2500 0.5000

no.,density of states at the Fermi level (states/eV/atom)
1,0.77
2,0.86
3,0.63
4,0.64
5,0.58
6,0.46